# TbHfOsRh (GGA-PBE, relaxed)
# D(E_F): 0.34 states/eV per atom
# E_form: -602 meV/atom
# Final energy: -8.893 eV/atom
data_TbHfOsRh
_chemical_formula_sum 'Tb4 Hf4 Os4 Rh4'
_cell_length_a 6.679
_cell_length_b 6.679
_cell_length_c 6.679
_cell_angle_alpha 90.00
_cell_angle_beta 90.00
_cell_angle_gamma 90.00
_space_group_name_H-M_alt 'F -4 3 m'
_space_group_IT_number 216
_space_group_name_Hall 'F -4 2 3'
loop_
_atom_site_label
_atom_site_fract_x
_atom_site_fract_y
_atom_site_fract_z
Tb1 0.000 0.000 0.000
Hf1 0.000 0.000 0.500
Os1 0.250 0.250 0.250
Rh1 0.250 0.250 0.750